# 1
VASP calculation (PBE) on a relaxed structure of MnCrPd6.

abc: 3.916 3.916 7.814
angles: 90.00 90.00 90.00
Space group P4/mmm (No. 123)
Inequivalent atoms, fractional coordinates:
1 Mn 0.000 0.000 0.000 x1
2 Cr 0.000 0.000 0.500 x1
3 Pd 0.000 0.500 0.253 x4
4 Pd 0.500 0.500 0.000 x1
5 Pd 0.500 0.500 0.500 x1

## Properties
- ΔH_f (0 K) (eV per atom) = -0.142
- energy relative to the lowest polymorph listed for this composition (eV/f.u.) = 0.00
- E (Ry/atom) = -0.4693


# 2
VASP calculation (PBE) on a relaxed structure of HoCuRuPb.

abc: 6.730 6.730 6.730
angles: 90.00 90.00 90.00
Space group F-43m (No. 216)
Inequivalent atoms, fractional coordinates:
1 Ho 0.000 0.000 0.000 x4
2 Cu 0.250 0.250 0.750 x4
3 Ru 0.250 0.250 0.250 x4
4 Pb 0.000 0.000 0.500 x4

## Properties
- ΔH_f (0 K) (eV per atom) = -0.034
- E (Ry/atom) = -0.4005


# 3
VASP calculation (PBE) on a relaxed structure of CsCu3W.

abc: 4.995 4.995 4.995
angles: 90.00 90.00 90.00
Space group Pm-3m (No. 221)
Inequivalent atoms, fractional coordinates:
1 Cs 0.000 0.000 0.000 x1
2 Cu 0.000 0.500 0.500 x3
3 W 0.500 0.500 0.500 x1

## Properties
- ΔH_f (0 K) (eV per atom) = 1.258
- energy relative to the lowest polymorph listed for this composition (eV/f.u.) = 0.00
- E (Ry/atom) = -0.2911


# 4
VASP calculation (PBE) on a relaxed structure of PHRuS.

abc: 3.8191 3.8191 12.7472
angles: 90.00 90.00 120.00
Space group R3m (No. 160, hexagonal axes)
Inequivalent atoms, fractional coordinates:
1 P 0.0000 0.0000 0.0000 x3
2 H 0.0000 0.0000 0.2773 x3
3 Ru 0.0000 0.0000 0.4002 x3
4 S 0.0000 0.0000 0.8292 x3

## Properties
- energy relative to the lowest polymorph listed for this composition (eV/f.u.) = 0.00
- E (Ry/atom) = -0.4221


# 5
VASP calculation (PBE) on a relaxed structure of CrCoSb2.

abc: 4.336 4.712 6.999
angles: 90.00 90.00 90.00
Space group Cmmm (No. 65)
Inequivalent atoms, fractional coordinates:
1 Cr 0.000 0.000 0.000 x2
2 Co 0.000 0.000 0.500 x2
3 Sb 0.000 0.500 0.265 x4

## Properties
- energy relative to the elements, uncorrected (eV/atom) = 0.358
- E (Ry/atom) = -0.4326


# 6
VASP calculation (PBE) on a relaxed structure of Tl2TcAs.

abc: 3.663 3.663 6.167
angles: 90.00 90.00 90.00
Space group P4/mmm (No. 123)
Inequivalent atoms, fractional coordinates:
1 Tl 0.000 0.000 0.241 x2
2 Tc 0.500 0.500 0.000 x1
3 As 0.500 0.500 0.500 x1

## Properties
- ΔH_f (0 K) (eV per atom) = 0.733
- energy relative to the lowest polymorph listed for this composition (eV/f.u.) = 2.48
- E (Ry/atom) = -0.3090


# 7
VASP calculation (PBE) on a relaxed structure of Tm2TlIr.

abc: 3.9026 3.9026 24.1051
angles: 90.00 90.00 120.00
Space group R-3m (No. 166, hexagonal axes)
Inequivalent atoms, fractional coordinates:
1 Tm 0.0000 0.0000 0.2312 x6
2 Tl 0.0000 0.0000 0.0000 x3
3 Ir 0.0000 0.0000 0.5000 x3

## Properties
- ΔH_f (0 K) (eV per atom) = -0.541
- energy relative to the lowest polymorph listed for this composition (eV/f.u.) = 0.43
- E (Ry/atom) = -0.4104


# 8
VASP calculation (PBE) on a relaxed structure of Tb2Pm4ErTm2.

abc: 15.207 5.060 7.990
angles: 90.00 108.49 90.00
Space group C2/m (No. 12)
Inequivalent atoms, fractional coordinates:
1 Tb 0.111 0.000 0.170 x4
2 Pm 0.054 0.500 0.831 x4
3 Pm 0.222 0.000 0.831 x4
4 Er 0.000 0.000 0.500 x2
5 Tm 0.167 0.500 0.500 x4

## Properties
- ΔH_f (0 K) (eV per atom) = 0.022
- E (Ry/atom) = -0.3395


# 9
VASP calculation (PBE) on a relaxed structure of CdSbTe2.

abc: 7.610 7.610 7.610
angles: 90.00 90.00 90.00
Space group Fm-3m (No. 225)
Inequivalent atoms, fractional coordinates:
1 Cd 0.000 0.000 0.000 x4
2 Sb 0.000 0.000 0.500 x4
3 Te 0.250 0.250 0.250 x8

## Properties
- energy relative to the lowest polymorph listed for this composition (eV/f.u.) = 1.13
- energy relative to the elements, uncorrected (eV/atom) = 0.122
- E (Ry/atom) = -0.1990


# 10
VASP calculation (PBE) on a relaxed structure of RbLi3Mn4I12.

abc: 16.1328 16.1328 11.1609
angles: 90.00 90.00 120.00
Space group R32 (No. 155, hexagonal axes)
Inequivalent atoms, fractional coordinates:
1 Rb 0.0000 0.0000 0.0000 x3
2 Li 0.0000 0.5623 0.0000 x9
3 Mn 0.0000 0.0000 0.5000 x3
4 Mn 0.0000 0.4320 0.5000 x9
5 I 0.0000 0.5944 0.5000 x9
6 I 0.0000 0.8378 0.5000 x9
7 I 0.0639 0.2332 0.1695 x18

## Properties
- energy relative to the elements, uncorrected (eV/atom) = -0.667
- E (Ry/atom) = -0.2769


# 11
VASP calculation (PBE) on a relaxed structure of SrBeAg2.

abc: 5.256 5.256 15.516
angles: 90.00 90.00 90.00
Space group I4_1/amd (No. 141, origin choice 2)
Inequivalent atoms, fractional coordinates:
1 Sr 0.000 0.250 0.375 x4
2 Be 0.000 0.250 0.875 x4
3 Ag 0.000 0.000 0.000 x8

## Properties
- ΔH_f (0 K) (eV per atom) = 0.138
- E (Ry/atom) = -0.1940


# 12
VASP calculation (PBE) on a relaxed structure of Li2Pr3S2O4.

abc: 3.955 3.955 21.157
angles: 90.00 90.00 90.00
Space group I4/mmm (No. 139)
Inequivalent atoms, fractional coordinates:
1 Li 0.000 0.000 0.084 x4
2 Pr 0.000 0.000 0.345 x4
3 Pr 0.000 0.000 0.500 x2
4 S 0.000 0.000 0.203 x4
5 O 0.000 0.500 0.075 x8

## Properties
- energy relative to the elements, uncorrected (eV/atom) = -2.368
- E (Ry/atom) = -0.4831


> The highest E belongs to which entry?

SrBeAg2


> Number 1 is which compound?

MnCrPd6


What did the third record say?
VASP calculation (PBE) on a relaxed structure of CsCu3W.

abc: 4.995 4.995 4.995
angles: 90.00 90.00 90.00
Space group Pm-3m (No. 221)
Inequivalent atoms, fractional coordinates:
1 Cs 0.000 0.000 0.000 x1
2 Cu 0.000 0.500 0.500 x3
3 W 0.500 0.500 0.500 x1

## Properties
- ΔH_f (0 K) (eV per atom) = 1.258
- energy relative to the lowest polymorph listed for this composition (eV/f.u.) = 0.00
- E (Ry/atom) = -0.2911


> E of number 7 (Tm2TlIr)?

-0.4104 Ry/atom